# ScCr2Tc, optimized geometry, DFT PBE
data_ScCr2Tc
_cell_length_a 6.940
_cell_length_b 6.940
_cell_length_c 5.406
_cell_angle_alpha 90.00
_cell_angle_beta 90.00
_cell_angle_gamma 90.00
_space_group_name_H-M_alt 'I -4 2 d'
_space_group_IT_number 122
_space_group_name_Hall 'I -4 2bw'
loop_
_atom_site_label
_atom_site_fract_x
_atom_site_fract_y
_atom_site_fract_z
_atom_site_occupancy
Sc1 0.000 0.000 0.000 1
Cr1 0.207 0.250 0.625 1
Tc1 0.000 0.000 0.500 1
# Fermi-level density of states = 0.95 states/eV per atom
# Formation enthalpy at 0 K = 0.596 eV per atom
# Total magnetization = 2.1 μB per formula unit